[1]
Below is an optimized crystal structure of PrHoGaOs, with properties calculated at the PBE level.

a = 5.0245 Å, b = 5.0245 Å, c = 5.0245 Å
α = 60.00°, β = 60.00°, γ = 60.00°
Element x y z (fractional)
Os1 0.7500 0.7500 0.7500
Pr1 0.5000 0.5000 0.5000
Ho1 0.0000 0.0000 0.0000
Ga1 0.2500 0.2500 0.2500

Results
- energy relative to the elements (meV/atom) = -237
- SG = F-43m (216)
- crystal system = cubic

[2]
Below is an optimized crystal structure of NaScBeB, with properties calculated at the PBE level.

a = 7.1130 Å, b = 3.5147 Å, c = 6.0913 Å
α = 90.00°, β = 106.27°, γ = 90.00°
Element x y z (fractional)
B1 0.7830 0.0000 0.1203
B2 0.7830 0.5000 0.6203
Sc1 0.9617 0.0000 0.8457
Sc2 0.9617 0.5000 0.3457
Na1 0.4455 0.0000 0.6762
Na2 0.4455 0.5000 0.1762
Be1 0.7467 0.0000 0.4419
Be2 0.7467 0.5000 0.9419

Results
- excess energy over the best structure of this formula in the dataset (meV/atom) = 3
- energy relative to the elements (meV/atom) = 58
- SG = Cm (8)
- crystal system = monoclinic

[3]
Below is an optimized crystal structure of AcSbPb4, with properties calculated at the PBE level.

a = 6.5164 Å, b = 6.5164 Å, c = 6.5164 Å
α = 60.00°, β = 60.00°, γ = 60.00°
Element x y z (fractional)
Pb1 0.1251 0.6250 0.6250
Pb2 0.6250 0.1251 0.6250
Pb3 0.6250 0.6250 0.6250
Pb4 0.6250 0.6250 0.1251
Sb1 0.2500 0.2500 0.2500
Ac1 0.0000 0.0000 0.0000

Results
- SG = F-43m (216)
- ΔE_f (raw) (eV per atom) = -0.12
- crystal system = cubic

[4]
Below is an optimized crystal structure of MgCdW2, with properties calculated at the PBE level.

a = 7.5549 Å, b = 7.5549 Å, c = 5.9712 Å
α = 50.76°, β = 50.76°, γ = 90.00°
Element x y z (fractional)
Cd1 0.0000 0.0000 0.0000
Cd2 0.7500 0.2500 0.5000
W1 0.1228 0.6250 0.2500
W2 0.6272 0.1250 0.2500
W3 0.3750 0.3728 0.7500
W4 0.8750 0.8772 0.7500
Mg1 0.5000 0.5000 0.0000
Mg2 0.2500 0.7500 0.5000

Results
- excess energy over the best structure of this formula in the dataset (meV/atom) = 1059
- energy relative to the elements (meV/atom) = 1347
- SG = I-42d (122)
- crystal system = tetragonal

[5]
Below is an optimized crystal structure of Na3Pu3InS8, with properties calculated at the PBE level.

a = 7.9772 Å, b = 7.9774 Å, c = 8.0950 Å
α = 119.51°, β = 90.00°, γ = 120.00°
Last column: magnetic moment on the atom in μB.
Element x y z (fractional)
S1 0.7634 0.0170 0.2803  -0.10
S2 0.2589 0.5179 0.2767  -0.12
S3 0.2366 0.9830 0.7197  -0.10
S4 0.2365 0.4731 0.7197  -0.10
S5 0.7411 0.4821 0.7233  -0.12
S6 0.7464 0.9830 0.7197  -0.10
S7 0.2536 0.0170 0.2803  -0.10
S8 0.7635 0.5269 0.2803  -0.10
In1 0.0000 0.0000 0.5000  0.03
Na1 0.0000 0.5000 0.0000  0.00
Na2 0.5000 0.5000 0.0000  0.00
Na3 0.0000 0.0000 0.0000  0.00
Pu1 0.0000 0.5000 0.5000  4.88
Pu2 0.5000 0.5000 0.5000  4.88
Pu3 0.5000 0.0000 0.5000  4.88

Results
- SG = R-3m (166)
- ΔE_f (raw) (eV per atom) = -1.33
- crystal system = trigonal

[6]
Below is an optimized crystal structure of CaInHgBi, with properties calculated at the PBE level.

a = 5.5186 Å, b = 5.5186 Å, c = 5.5186 Å
α = 60.00°, β = 60.00°, γ = 60.00°
Element x y z (fractional)
Ca1 0.7500 0.7500 0.7500
Bi1 0.5000 0.5000 0.5000
Hg1 0.0000 0.0000 0.0000
In1 0.2500 0.2500 0.2500

Results
- excess energy over the best structure of this formula in the dataset (meV/atom) = 40
- energy relative to the elements (meV/atom) = -362
- SG = F-43m (216)
- crystal system = cubic

[7]
Below is an optimized crystal structure of CsKSr2, with properties calculated at the PBE level.

a = 7.3042 Å, b = 7.3042 Å, c = 7.3042 Å
α = 60.00°, β = 60.00°, γ = 60.00°
Element x y z (fractional)
K1 0.0000 0.0000 0.0000
Cs1 0.5000 0.5000 0.5000
Sr1 0.2500 0.2500 0.2500
Sr2 0.7500 0.7500 0.7500

Results
- excess energy over the best structure of this formula in the dataset (meV/atom) = 31
- energy relative to the elements (meV/atom) = 200
- SG = Fm-3m (225)
- crystal system = cubic

[8]
Below is an optimized crystal structure of LiDy6Pd2, with properties calculated at the PBE level.

a = 3.9587 Å, b = 7.3259 Å, c = 8.6698 Å
α = 80.30°, β = 76.80°, γ = 74.32°
Element x y z (fractional)
Pd1 0.5945 0.5573 0.2538
Pd2 0.4055 0.4427 0.7462
Dy1 0.0209 0.1393 0.8190
Dy2 0.6669 0.1931 0.4731
Dy3 0.7181 0.6840 0.8797
Dy4 0.2819 0.3160 0.1203
Dy5 0.3331 0.8069 0.5269
Dy6 0.9791 0.8608 0.1810
Li1 0.0000 0.5000 0.5000

Results
- energy relative to the elements (meV/atom) = -364
- SG = C2/m (12)
- crystal system = monoclinic

[9]
Below is an optimized crystal structure of LiReRuC2, with properties calculated at the PBE level.

a = 3.7321 Å, b = 3.7321 Å, c = 3.9835 Å
α = 90.00°, β = 90.00°, γ = 90.00°
Element x y z (fractional)
C1 0.5000 0.0000 0.0000
C2 0.0000 0.5000 0.0000
Re1 0.0000 0.0000 0.5000
Li1 0.0000 0.0000 0.0000
Ru1 0.5000 0.5000 0.5000

Results
- energy relative to the elements (meV/atom) = 2664
- SG = P4/mmm (123)
- crystal system = tetragonal

[10]
Below is an optimized crystal structure of SmEuTlHg, with properties calculated at the PBE level.

a = 5.4887 Å, b = 5.4887 Å, c = 5.4887 Å
α = 60.00°, β = 60.00°, γ = 60.00°
Last column: magnetic moment on the atom in μB.
Element x y z (fractional)
Eu1 0.7500 0.7500 0.7500  -6.87
Sm1 0.2500 0.2500 0.2500  -0.07
Tl1 0.0000 0.0000 0.0000  0.00
Hg1 0.5000 0.5000 0.5000  -0.02

Results
- energy relative to the elements (meV/atom) = -445
- SG = F-43m (216)
- crystal system = cubic

[11]
Below is an optimized crystal structure of RbCoOs, with properties calculated at the PBE level.

a = 8.0634 Å, b = 4.0722 Å, c = 10.1557 Å
α = 90.00°, β = 90.00°, γ = 90.00°
Last column: magnetic moment on the atom in μB.
Element x y z (fractional)
Rb1 0.4972 0.7500 0.3126  0.00
Rb2 0.9972 0.7500 0.1874  0.00
Rb3 0.5028 0.2500 0.6874  0.00
Rb4 0.0028 0.2500 0.8126  0.00
Os1 0.3691 0.7500 0.9603  0.25
Os2 0.8691 0.7500 0.5397  0.26
Os3 0.1309 0.2500 0.4603  0.26
Os4 0.6309 0.2500 0.0397  0.25
Co1 0.6529 0.7500 0.9475  0.34
Co2 0.1529 0.7500 0.5525  0.34
Co3 0.3471 0.2500 0.0525  0.34
Co4 0.8471 0.2500 0.4475  0.34

Results
- excess energy over the best structure of this formula in the dataset (meV/atom) = 502
- energy relative to the elements (meV/atom) = 1154
- SG = Pnma (62)
- crystal system = orthorhombic

[12]
Below is an optimized crystal structure of LiErBi2, with properties calculated at the PBE level.

a = 3.9220 Å, b = 3.9220 Å, c = 8.8619 Å
α = 77.22°, β = 77.22°, γ = 60.00°
Element x y z (fractional)
Li1 0.0000 0.0000 0.0000
Bi1 0.2544 0.2544 0.2369
Bi2 0.7456 0.7456 0.7631
Er1 0.5000 0.5000 0.5000

Results
- excess energy over the best structure of this formula in the dataset (meV/atom) = 185
- energy relative to the elements (meV/atom) = -381
- SG = R-3m (166)
- crystal system = trigonal

[13]
Below is an optimized crystal structure of PaC2IO8, with properties calculated at the PBE level.

a = 5.3283 Å, b = 5.3283 Å, c = 8.7526 Å
α = 105.11°, β = 105.11°, γ = 60.98°
Last column: magnetic moment on the atom in μB.
Element x y z (fractional)
O1 0.5790 0.1585 0.8466  -0.01
O2 0.8415 0.4210 0.1534  -0.01
O3 0.2285 0.2285 0.6313  0.07
O4 0.7715 0.7715 0.3687  0.07
O5 0.1585 0.5790 0.8466  -0.01
O6 0.1625 0.1625 0.8685  0.00
O7 0.4210 0.8415 0.1534  -0.01
O8 0.8375 0.8375 0.1315  0.00
I1 0.0000 0.0000 0.5000  0.12
Pa1 0.0000 0.0000 0.0000  0.01
C1 0.7176 0.7176 0.1951  0.00
C2 0.2824 0.2824 0.8049  0.00

Results
- SG = C2/m (12)
- ΔE_f (raw) (eV per atom) = -1.45
- crystal system = monoclinic

[14]
Below is an optimized crystal structure of Li2PmPd3, with properties calculated at the PBE level.

a = 4.4425 Å, b = 4.4425 Å, c = 12.2222 Å
α = 90.00°, β = 90.00°, γ = 120.00°
Element x y z (fractional)
Pm1 0.0000 0.0000 0.2500
Pm2 0.0000 0.0000 0.7500
Li1 0.3333 0.6667 0.9241
Li2 0.6667 0.3333 0.4241
Li3 0.6667 0.3333 0.0759
Li4 0.3333 0.6667 0.5759
Pd1 0.6667 0.3333 0.6314
Pd2 0.3333 0.6667 0.3686
Pd3 0.3333 0.6667 0.1314
Pd4 0.0000 0.0000 0.0000
Pd5 0.6667 0.3333 0.8686
Pd6 0.0000 0.0000 0.5000

Results
- energy relative to the elements (meV/atom) = -588
- SG = P6_3/mmc (194)
- crystal system = hexagonal

[15]
Below is an optimized crystal structure of CeTmZn, with properties calculated at the PBE level.

a = 3.3057 Å, b = 5.7293 Å, c = 23.1219 Å
α = 152.25°, β = 90.00°, γ = 106.77°
Last column: magnetic moment on the atom in μB.
Element x y z (fractional)
Ce1 0.4635 0.9271 0.7922  0.72
Ce2 0.5365 0.0729 0.2078  0.72
Zn1 0.5773 0.1545 0.0902  0.01
Zn2 0.4227 0.8455 0.9098  0.01
Tm1 0.7712 0.5424 0.5716  0.02
Tm2 0.2288 0.4576 0.4284  0.02

Results
- excess energy over the best structure of this formula in the dataset (meV/atom) = 255
- energy relative to the elements (meV/atom) = 90
- SG = C2/m (12)
- crystal system = monoclinic

[16]
Below is an optimized crystal structure of PuTh2As, with properties calculated at the PBE level.

a = 3.8104 Å, b = 3.8104 Å, c = 7.7560 Å
α = 75.78°, β = 75.78°, γ = 60.00°
Element x y z (fractional)
Th1 0.2422 0.2422 0.2733
Th2 0.7578 0.7578 0.7267
Pu1 0.5000 0.5000 0.5000
As1 0.0000 0.0000 0.0000

Results
- excess energy over the best structure of this formula in the dataset (meV/atom) = 544
- energy relative to the elements (meV/atom) = 125
- SG = R-3m (166)
- crystal system = trigonal

[17]
Below is an optimized crystal structure of VCrCl4, with properties calculated at the PBE level.

a = 7.2249 Å, b = 7.1218 Å, c = 7.4934 Å
α = 61.63°, β = 61.18°, γ = 90.00°
Last column: magnetic moment on the atom in μB.
Element x y z (fractional)
Cl1 0.7472 0.2612 0.0056  0.01
Cl2 0.2528 0.2667 0.9944  0.01
Cl3 0.2057 0.7251 0.5497  -0.04
Cl4 0.2554 0.2749 0.4503  -0.04
Cl5 0.7943 0.2749 0.4503  -0.04
Cl6 0.7472 0.7333 0.0056  0.01
Cl7 0.2528 0.7388 0.9944  0.01
Cl8 0.7446 0.7251 0.5497  -0.04
Cr1 0.0000 0.0000 0.5000  3.77
Cr2 0.0000 0.5000 0.5000  3.77
V1 0.5000 0.5000 0.0000  2.52
V2 0.0000 0.5000 0.0000  2.52

Results
- excess energy over the best structure of this formula in the dataset (meV/atom) = 0
- SG = Imma (74)
- ΔE_f (raw) (eV per atom) = -1.02
- crystal system = orthorhombic

[18]
Below is an optimized crystal structure of Co2Ir, with properties calculated at the PBE level.

a = 5.1558 Å, b = 3.6755 Å, c = 7.7265 Å
α = 90.00°, β = 90.00°, γ = 90.00°
Last column: magnetic moment on the atom in μB.
Element x y z (fractional)
Co1 0.3793 0.7500 0.7516  1.49
Co2 0.1207 0.2500 0.2516  1.49
Co3 0.8786 0.7500 0.4174  1.48
Co4 0.6214 0.2500 0.9174  1.48
Co5 0.8793 0.7500 0.7484  1.49
Co6 0.6207 0.2500 0.2484  1.49
Co7 0.3786 0.7500 0.0826  1.48
Co8 0.1214 0.2500 0.5826  1.48
Ir1 0.1313 0.2500 0.9129  0.35
Ir2 0.3687 0.7500 0.4129  0.35
Ir3 0.8687 0.7500 0.0871  0.35
Ir4 0.6313 0.2500 0.5871  0.35

Results
- excess energy over the best structure of this formula in the dataset (meV/atom) = 35
- energy relative to the elements (meV/atom) = 53
- SG = Pnma (62)
- crystal system = orthorhombic

[19]
Below is an optimized crystal structure of La2Tb6Dy3Pu, with properties calculated at the PBE level.

a = 6.1897 Å, b = 6.1897 Å, c = 11.8242 Å
α = 95.03°, β = 95.03°, γ = 120.08°
Last column: magnetic moment on the atom in μB.
Element x y z (fractional)
Pu1 0.0000 0.0000 0.0000  5.58
Tb1 0.0837 0.4121 0.2525  0.02
Tb2 0.7553 0.7553 0.2526  0.02
Tb3 0.2447 0.2447 0.7474  0.02
Tb4 0.9163 0.5879 0.7475  0.02
Tb5 0.5879 0.9163 0.7475  0.02
Tb6 0.4121 0.0837 0.2525  0.02
Dy1 0.1665 0.8335 0.5000  -0.02
Dy2 0.8335 0.1665 0.5000  -0.02
Dy3 0.5000 0.5000 0.5000  -0.02
La1 0.3335 0.6665 0.0000  0.07
La2 0.6665 0.3335 0.0000  0.07

Results
- energy relative to the elements (meV/atom) = 49
- SG = C2/m (12)
- crystal system = monoclinic

[20]
Below is an optimized crystal structure of Al5Ag7, with properties calculated at the PBE level.

a = 4.9788 Å, b = 8.3658 Å, c = 5.2203 Å
α = 90.00°, β = 108.98°, γ = 90.00°
Element x y z (fractional)
Ag1 0.5000 0.5101 0.0000
Ag2 0.5000 0.9966 0.5000
Ag3 0.0000 0.9821 0.0000
Ag4 0.5000 0.1653 0.0000
Ag5 0.0000 0.3423 0.0000
Ag6 0.0000 0.1771 0.5000
Ag7 0.5000 0.6584 0.5000
Al1 0.5000 0.8376 0.0000
Al2 0.5000 0.3262 0.5000
Al3 0.0000 0.5026 0.5000
Al4 0.0000 0.6647 0.0000
Al5 0.0000 0.8369 0.5000

Results
- excess energy over the best structure of this formula in the dataset (meV/atom) = 31
- energy relative to the elements (meV/atom) = -17
- SG = P2 (3)
- crystal system = monoclinic

Number 1: total DFT energy (no corrections) -6.140 eV/atom, spin magnetization 0.00 μB per formula unit. Number 2: total DFT energy (no corrections) -4.455 eV/atom, spin magnetization 0.00 μB per formula unit. Number 3: total DFT energy (no corrections) -3.963 eV/atom, spin magnetization 0.00 μB per formula unit. Number 4: total DFT energy (no corrections) -5.757 eV/atom, spin magnetization 0.00 μB per formula unit. Number 5: total DFT energy (no corrections) -6.840 eV/atom, spin magnetization 14.00 μB per formula unit. Number 6: total DFT energy (no corrections) -2.592 eV/atom, spin magnetization 0.00 μB per formula unit. Number 7: total DFT energy (no corrections) -1.129 eV/atom, spin magnetization 0.00 μB per formula unit. Number 8: total DFT energy (no corrections) -4.799 eV/atom, spin magnetization 0.00 μB per formula unit. Number 9: total DFT energy (no corrections) -5.753 eV/atom, spin magnetization 0.00 μB per formula unit. Number 10: total DFT energy (no corrections) -4.861 eV/atom, spin magnetization 7.33 μB per formula unit. Number 11: total DFT energy (no corrections) -5.280 eV/atom, spin magnetization 0.66 μB per formula unit. Number 12: total DFT energy (no corrections) -3.940 eV/atom, spin magnetization 0.00 μB per formula unit. Number 13: total DFT energy (no corrections) -7.214 eV/atom, spin magnetization 0.31 μB per formula unit. Number 14: total DFT energy (no corrections) -4.615 eV/atom, spin magnetization 0.00 μB per formula unit. Number 15: total DFT energy (no corrections) -3.803 eV/atom, spin magnetization 0.91 μB per formula unit. Number 16: total DFT energy (no corrections) -8.330 eV/atom, spin magnetization 0.00 μB per formula unit. Number 17: total DFT energy (no corrections) -5.372 eV/atom, spin magnetization 7.00 μB per formula unit. Number 18: total DFT energy (no corrections) -7.638 eV/atom, spin magnetization 3.29 μB per formula unit. Number 19: total DFT energy (no corrections) -5.432 eV/atom, spin magnetization 6.41 μB per formula unit. Number 20: total DFT energy (no corrections) -3.240 eV/atom, spin magnetization 0.00 μB per formula unit.